Record 1
A plane-wave DFT calculation with GGA-PBE was carried out for crystalline Ca3PmMg8 at its relaxed geometry.

Properties
The value obtained for the energy is -2.070 eV/atom. Its energy of formation is -0.11 eV per atom.

Cell: 6.1917 6.1917 30.2622 Å, 90.00 90.00 120.00°
Closest atoms and distances in Å follow each position.
Space group R3m (No. 160, hexagonal axes)
Symmetry-distinct sites (fractional):
Ca 0.0000 0.0000 0.0000 [3 per cell]  12 Mg 3.63-3.64, 4 Ca 3.80-3.81
Ca 0.0000 0.0000 0.1260 [3 per cell]  12 Mg 3.58-3.63, 3 Pm 3.79, 1 Ca 3.81
Ca 0.0000 0.0000 0.6245 [3 per cell]  12 Mg 3.63-3.66, 1 Pm 3.75, 3 Ca 3.80
Pm 0.0000 0.0000 0.5007 [3 per cell]  12 Mg 3.61-3.63, 4 Ca 3.75-3.79
Mg 0.0000 0.0000 0.3127 [3 per cell]  6 Mg 3.10-3.11
Mg 0.0000 0.0000 0.8129 [3 per cell]  6 Mg 3.06-3.09
Mg 0.0004 0.5002 0.5619 [9 per cell]  6 Mg 3.06-3.11
Mg 0.0014 0.5007 0.0634 [9 per cell]  6 Mg 3.08-3.11

Record 2
A plane-wave DFT calculation with GGA-PBE was carried out for crystalline Dy5YPd6 at its relaxed geometry.

Properties
The value obtained for the energy is -5.936 eV/atom. Its energy of formation is -0.88 eV per atom.

Cell: 5.0179 14.9924 6.8910 Å, 90.00 90.00 90.00°
Closest atoms and distances in Å follow each position.
Space group Cmmm (No. 65)
Symmetry-distinct sites (fractional):
Dy 0.0000 0.0000 0.0000 [2 per cell]  8 Pd 3.04
Dy 0.0000 0.3334 0.5000 [4 per cell]  8 Pd 3.03-3.05
Dy 0.0000 0.3337 0.0000 [4 per cell]  8 Pd 3.02-3.04
Y 0.0000 0.0000 0.5000 [2 per cell]  8 Pd 3.05
Pd 0.0000 0.1677 0.2493 [8 per cell]  7 Dy 3.02-3.05, 1 Y 3.05
Pd 0.0000 0.5000 0.2481 [4 per cell]  6 Dy 3.02-3.04, 2 Y 3.05

Record 3
A plane-wave DFT calculation with GGA-PBE was carried out for crystalline Mg2TaAg at its relaxed geometry.

Properties
The calculation puts the energy above the lowest structure with this stoichiometry at 0.3660 eV per atom. The value obtained for the energy is -4.047 eV/atom. Its energy of formation is 0.43 eV per atom.

Cell: 4.2842 4.2842 8.1968 Å, 90.00 90.00 90.00°
Closest atoms and distances in Å follow each position.
Space group I-4m2 (No. 119)
Symmetry-distinct sites (fractional):
Mg 0.0000 0.0000 0.0000 [2 per cell]  4 Ta 2.96, 4 Mg 2.96, 4 Ag 3.03
Mg 0.0000 0.5000 0.2500 [2 per cell]  4 Mg 2.96, 4 Ag 2.96, 4 Ta 3.03
Ta 0.0000 0.5000 0.7500 [2 per cell]  8 Mg 2.96-3.03, 4 Ag 2.96
Ag 0.0000 0.0000 0.5000 [2 per cell]  4 Ta 2.96, 8 Mg 2.96-3.03

Record 4
A plane-wave DFT calculation with GGA-PBE was carried out for crystalline ZnCd2Br at its relaxed geometry.

Properties
The calculation puts the energy above the lowest structure with this stoichiometry at 0.0000 eV per atom. The value obtained for the energy is -1.340 eV/atom. Its uncorrected formation energy is -0.15 eV/atom.

Cell: 3.7141 3.7141 24.2757 Å, 90.00 90.00 120.00°
Closest atoms and distances in Å follow each position.
Space group R-3m (No. 166, hexagonal axes)
Symmetry-distinct sites (fractional):
Zn 0.0000 0.0000 0.0000 [3 per cell]  6 Cd 2.83
Cd 0.0000 0.0000 0.2575 [6 per cell]  3 Zn 2.83, 3 Br 3.08
Br 0.0000 0.0000 0.5000 [3 per cell]  6 Cd 3.08

Record 5
A plane-wave DFT calculation with GGA-PBE was carried out for crystalline Pm2SnP3Pd4 at its relaxed geometry.

Properties
The value obtained for the energy is -5.921 eV/atom. Its energy of formation is -0.87 eV per atom.

Cell: 4.1369 4.1369 10.9245 Å, 90.00 90.00 90.00°
Closest atoms and distances in Å follow each position.
Space group P-4m2 (No. 115)
Symmetry-distinct sites (fractional):
Pm 0.0000 0.5000 0.2255 [2 per cell]  4 P 3.11, 8 Pd 3.21-3.22
Sn 0.0000 0.0000 0.5000 [1 per cell]  4 Pd 2.67, 4 P 2.93
P 0.0000 0.5000 0.8700 [2 per cell]  5 Pd 2.36-2.51
P 0.5000 0.5000 0.5000 [1 per cell]  4 Pd 2.67, 4 Sn 2.93
Pd 0.0000 0.0000 0.0000 [1 per cell]  4 P 2.51
Pd 0.0000 0.5000 0.6540 [2 per cell]  1 P 2.36
Pd 0.5000 0.5000 0.0000 [1 per cell]  4 P 2.51

Record 6
A plane-wave DFT calculation with GGA-PBE was carried out for crystalline NaThAgPb at its relaxed geometry.

Properties
The value obtained for the energy is -3.917 eV/atom. Its energy of formation is -0.09 eV per atom.

Cell: 7.5484 7.5484 7.5484 Å, 90.00 90.00 90.00°
Closest atoms and distances in Å follow each position.
Space group F-43m (No. 216)
Symmetry-distinct sites (fractional):
Na 0.0000 0.0000 0.0000 [4 per cell]  4 Pb 3.27, 4 Ag 3.27
Th 0.0000 0.0000 0.5000 [4 per cell]  4 Ag 3.27, 4 Pb 3.27
Ag 0.2500 0.2500 0.2500 [4 per cell]  4 Na 3.27, 4 Th 3.27
Pb 0.2500 0.2500 0.7500 [4 per cell]  4 Th 3.27, 4 Na 3.27

Record 7
A plane-wave DFT calculation with GGA-PBE was carried out for crystalline SmBiPd3 at its relaxed geometry.

Properties
The value obtained for the energy is -5.362 eV/atom. Its energy of formation is -0.53 eV per atom.

Cell: 5.5593 7.9683 9.5430 Å, 90.00 90.00 90.00°
Closest atoms and distances in Å follow each position.
Space group Imma (No. 74)
Symmetry-distinct sites (fractional):
Sm 0.0000 0.2500 0.0040 [4 per cell]  5 Pd 2.90-3.09
Bi 0.0000 0.0000 0.5000 [4 per cell]  6 Pd 2.76-2.82
Pd 0.0000 0.2500 0.7001 [4 per cell]  2 Bi 2.76, 1 Sm 2.90, 6 Pd 2.94
Pd 0.2500 0.0690 0.2500 [8 per cell]  5 Pd 2.78-2.94, 2 Bi 2.82, 2 Sm 3.09

Record 8
A plane-wave DFT calculation with GGA-PBE was carried out for crystalline La2DySn3Rh4 at its relaxed geometry.

Properties
The value obtained for the energy is -6.379 eV/atom. Its energy of formation is -0.79 eV per atom.

Cell: 4.4512 4.4512 11.4758 Å, 90.00 90.00 90.00°
Closest atoms and distances in Å follow each position.
Space group P-4m2 (No. 115)
Symmetry-distinct sites (fractional):
La 0.0000 0.5000 0.2351 [2 per cell]  6 Sn 3.39-3.77, 8 Rh 3.43-3.50, 2 Dy 3.77
Dy 0.0000 0.0000 0.5000 [1 per cell]  4 Rh 2.79
Sn 0.0000 0.5000 0.8754 [2 per cell]  5 Rh 2.63-2.65
Sn 0.5000 0.5000 0.5000 [1 per cell]  4 Rh 2.79
Rh 0.0000 0.0000 0.0000 [1 per cell]  4 Sn 2.65
Rh 0.0000 0.5000 0.6462 [2 per cell]  3 Sn 2.63-2.79, 2 Dy 2.79
Rh 0.5000 0.5000 0.0000 [1 per cell]  4 Sn 2.65

Record 9
A plane-wave DFT calculation with GGA-PBE was carried out for crystalline ZnPtNF2 at its relaxed geometry.

Properties
The calculation puts the energy above the lowest structure with this stoichiometry at 0.1632 eV per atom. The value obtained for the energy is -3.802 eV/atom. Its uncorrected formation energy is 0.07 eV/atom.

Cell: 3.5850 3.5850 5.7805 Å, 90.00 90.00 90.00°
Closest atoms and distances in Å follow each position.
Space group P4/mmm (No. 123)
Symmetry-distinct sites (fractional):
Zn 0.0000 0.0000 0.0000 [1 per cell]  4 F 1.79
Pt 0.5000 0.5000 0.5000 [1 per cell]  4 N 2.53
N 0.0000 0.0000 0.5000 [1 per cell]  4 Pt 2.53
F 0.0000 0.5000 0.0000 [2 per cell]  2 Zn 1.79

Record 10
A plane-wave DFT calculation with GGA-PBE was carried out for crystalline Hf2VHgH at its relaxed geometry.

Properties
The value obtained for the energy is -6.602 eV/atom.

Cell: 4.4261 4.4261 4.0137 Å, 90.00 90.00 90.00°
Closest atoms and distances in Å follow each position.
Space group P4/mmm (No. 123)
Symmetry-distinct sites (fractional):
Hf 0.0000 0.5000 0.0000 [2 per cell]  2 H 2.21
V 0.0000 0.0000 0.5000 [1 per cell]  2 H 2.01
Hg 0.5000 0.5000 0.5000 [1 per cell]  8 Hf 2.99, 4 V 3.13
H 0.0000 0.0000 0.0000 [1 per cell]  2 V 2.01, 4 Hf 2.21

Record 11
A plane-wave DFT calculation with GGA-PBE was carried out for crystalline Be3NbB3 at its relaxed geometry.

Properties
The value obtained for the energy is -6.017 eV/atom. Its energy of formation is -0.12 eV per atom.

Cell: 7.1167 7.1167 2.9773 Å, 90.00 90.00 120.00°
Closest atoms and distances in Å follow each position.
Space group P6_3/m (No. 176)
Symmetry-distinct sites (fractional):
Be 0.0825 0.3182 0.2500 [6 per cell]  4 B 2.03-2.08
Nb 0.3333 0.6667 0.7500 [2 per cell]  9 B 2.35-2.37
B 0.0416 0.5819 0.2500 [6 per cell]  2 B 1.80

Record 12
A plane-wave DFT calculation with GGA-PBE was carried out for crystalline Sc3Pb2O2 at its relaxed geometry.

Properties
The value obtained for the energy is -7.006 eV/atom. Its uncorrected formation energy is -1.82 eV/atom.

Cell: 11.4749 3.6892 6.7142 Å, 90.00 96.55 90.00°
Closest atoms and distances in Å follow each position.
Space group C2/m (No. 12)
Symmetry-distinct sites (fractional):
Sc 0.0000 0.0000 0.0000 [2 per cell]  2 O 2.09
Sc 0.2118 0.5000 0.8026 [4 per cell]  3 O 2.08-2.16
Pb 0.0906 0.5000 0.3573 [4 per cell]  1 Pb 2.98, 5 Sc 3.11-3.20
O 0.1710 0.0000 0.9210 [4 per cell]  4 Sc 2.08-2.16

| no. | theoretical density (g cm⁻³) |
| --- | --- |
| 1 | 2.279 |
| 2 | 9.865 |
| 3 | 7.449 |
| 4 | 6.358 |
| 5 | 8.236 |
| 6 | 8.804 |
| 7 | 10.662 |
| 8 | 8.823 |
| 9 | 6.985 |
| 10 | 12.872 |
| 11 | 3.874 |
| 12 | 6.836 |